Record 1
{"formula": "MgZnIn2Cu4", "functional": "PBE", "state": "relaxed", "lattice_angstrom": [[4.424, 0.000, 0.000], [0.000, 4.424, 0.000], [0.000, 0.000, 6.303]], "species": ["Cu", "Cu", "Cu", "Cu", "In", "In", "Mg", "Zn"], "fractional_positions": [[0.500, 0.000, 0.241], [0.000, 0.500, 0.241], [0.500, 0.000, 0.759], [0.000, 0.500, 0.759], [0.000, 0.000, 0.000], [0.500, 0.500, 0.500], [0.000, 0.000, 0.500], [0.500, 0.500, 0.000]], "final_energy_ev_per_atom": -2.913}

Record 2
{"formula": "NbInCuMo", "functional": "PBE", "state": "relaxed", "lattice_angstrom": [[3.368, -2.042, 2.340], [2.145, 2.253, 3.363], [-0.660, -1.228, 4.364]], "species": ["Cu", "In", "Mo", "Nb"], "fractional_positions": [[0.750, 0.750, 0.750], [0.000, 0.000, 0.000], [0.250, 0.250, 0.250], [0.500, 0.500, 0.500]], "final_energy_ev_per_atom": -6.539, "total_magnetization_mub_per_fu": 0.0, "de_polymorph_mev_per_atom": 0.0}

Record 3
{"formula": "InCuMoPd", "functional": "PBE", "state": "relaxed", "lattice_angstrom": [[4.288, -0.795, 1.126], [1.189, -4.023, 1.642], [2.500, -2.800, -2.490]], "species": ["Cu", "In", "Mo", "Pd"], "fractional_positions": [[0.750, 0.750, 0.750], [0.000, 0.000, 0.000], [0.500, 0.500, 0.500], [0.250, 0.250, 0.250]], "final_energy_ev_per_atom": -5.437, "total_magnetization_mub_per_fu": 1.7, "de_polymorph_mev_per_atom": 0.0}

Record 4
{"formula": "InCuMoSeS2", "functional": "PBE", "state": "relaxed", "lattice_angstrom": [[-4.033, 6.288, 0.324], [3.905, -5.612, 3.027], [8.056, 5.206, -0.741]], "species": ["Cu", "Cu", "In", "In", "Mo", "Mo", "S", "S", "S", "S", "Se", "Se"], "fractional_positions": [[0.045, 0.955, 0.250], [0.955, 0.045, 0.750], [0.744, 0.256, 0.250], [0.256, 0.744, 0.750], [0.500, 0.500, 0.000], [0.500, 0.500, 0.500], [0.120, 0.880, 0.046], [0.120, 0.880, 0.454], [0.880, 0.120, 0.546], [0.880, 0.120, 0.954], [0.425, 0.575, 0.250], [0.575, 0.425, 0.750]], "final_energy_ev_per_atom": -5.120, "total_magnetization_mub_per_fu": 0.9}